# 1
SbMo2Pt: relaxed, PBE-GGA.

The structure belongs to space group R3m (No. 160, hexagonal axes); the cell edges are 3.1285, 3.1285 and 25.5737 Å and the angles 90.00°, 90.00° and 120.00°. The asymmetric unit holds Sb at (0.0000, 0.0000, 0.0000), Mo at (0.0000, 0.0000, 0.4952), Mo at (0.0000, 0.0000, 0.7564) and Pt at (0.0000, 0.0000, 0.2441).

The value obtained for the energy relative to the elements, uncorrected is 0.219 eV per atom. As for the total energy: -7.737 eV per atom. As for the crystal system: trigonal.

***

# 2
SmNi4P2: relaxed, PBE-GGA.

The structure belongs to space group P4_2/mnm (No. 136); the cell edges are 7.1735, 7.1735 and 3.6234 Å and the angles 90.00°, 90.00° and 90.00°. The asymmetric unit holds Sm at (0.0000, 0.0000, 0.0000), Ni at (0.0856, 0.3383, 0.5000) and P at (0.2209, 0.7791, 0.5000).

As for the total energy: -6.315 eV per atom. As for the formation energy: -0.79 eV/atom. The calculation puts the energy above the lowest structure with this stoichiometry at 8.7 meV/atom. As for the crystal system: tetragonal.

***

# 3
BaTbSb2Au2: relaxed, PBE-GGA.

The structure belongs to space group P-3m1 (No. 164); the cell edges are 4.7382, 4.7382 and 8.7074 Å and the angles 90.00°, 90.00° and 120.00°. The asymmetric unit holds Ba at (0.0000, 0.0000, 0.0000), Tb at (0.0000, 0.0000, 0.5000), Sb at (0.3333, 0.6667, 0.7349) and Au at (0.3333, 0.6667, 0.3196).

The value obtained for the energy relative to the elements, uncorrected is -0.849 eV per atom. As for the total energy: -4.407 eV per atom. As for the crystal system: trigonal.

***

> What is the formula in the third record?

BaTbSb2Au2

***

What did the first record say?
SbMo2Pt: relaxed, PBE-GGA.

The structure belongs to space group R3m (No. 160, hexagonal axes); the cell edges are 3.1285, 3.1285 and 25.5737 Å and the angles 90.00°, 90.00° and 120.00°. The asymmetric unit holds Sb at (0.0000, 0.0000, 0.0000), Mo at (0.0000, 0.0000, 0.4952), Mo at (0.0000, 0.0000, 0.7564) and Pt at (0.0000, 0.0000, 0.2441).

The value obtained for the energy relative to the elements, uncorrected is 0.219 eV per atom. As for the total energy: -7.737 eV per atom. As for the crystal system: trigonal.